First-principles (GGA-PBE) data for a geometry-optimized Sc2CrBr structure, as listed in Alexandria.

```
Sc2CrBr
1.0
-1.7450 2.7900 4.4672
1.7450 -2.7900 4.4672
1.7450 2.7900 -4.4672
Sc Cr Br
2 1 1
direct
0.2420 0.2420 0.0000
0.7580 0.7580 0.0000
0.5000 0.0000 0.5000
0.0000 0.5000 0.5000
```

Its density of states at the Fermi level is 4.38 states/eV/cell. The electronic total energy is -5.882 eV/atom. As for the crystal system: orthorhombic.